[1]
Compound: TbPrPb
Source: Alexandria via LeMat-Bulk
Functional: PBE-GGA
Structure: relaxed

Summary:
* energy above the lowest structure with this stoichiometry: 0.1414 eV/atom
* energy of formation from the pure elements: -0.306 eV/atom

abc: 4.2126 4.2126 5.9000
angles: 110.92 110.92 90.00
Positions (direct):
Tb  0.9387  0.9387  0.8773
Pr  0.6236  0.6236  0.2473
Pb  0.2877  0.2877  0.5754

=====

[2]
Compound: Tl2Pd8Se
Source: Alexandria via LeMat-Bulk
Functional: PBE-GGA
Structure: relaxed

Summary:
* formation energy from raw total energies: -1.86 eV per formula unit

abc: 4.6922 5.8292 7.9214
angles: 111.53 107.23 90.00
Positions (direct):
Pd  0.6379  0.3946  0.2759
Pd  0.8144  0.8140  0.6289
Pd  0.9999  0.2427  0.9997
Pd  0.6385  0.8825  0.2769
Pd  0.0001  0.7573  0.0003
Pd  0.1856  0.1860  0.3711
Pd  0.3615  0.1175  0.7231
Pd  0.3621  0.6054  0.7241
Se  0.5000  0.0000  0.0000
Tl  0.8193  0.3194  0.6385
Tl  0.1807  0.6806  0.3615